Record 1
! TbPm2Sc7 | Alexandria | PBE-GGA | optimized geometry; values from VASP
&SYSTEM
  ibrav = 0, nat = 10, ntyp = 3
/
ATOMIC_SPECIES
Tb 158.93 Tb.upf
Pm 145.00 Pm.upf
Sc 44.96 Sc.upf
CELL_PARAMETERS angstrom
3.051 -13.697 0.000
3.051 13.697 0.000
0.000 0.000 3.321
ATOMIC_POSITIONS angstrom
Tb 0.000 0.000 0.000
Pm 3.051 5.738 1.660
Pm 3.051 -5.738 1.660
Sc 1.502 2.675 1.660
Sc 3.051 8.754 0.000
Sc 1.502 -2.675 1.660
Sc 3.051 0.000 1.660
Sc 4.601 2.675 1.660
Sc 3.051 -8.754 0.000
Sc 4.601 -2.675 1.660
! - Crystal system: orthorhombic
! - Size of the total moment: 0.001 μB per atom
! - SG: Cmmm, No. 65
! - Formation enthalpy at 0 K: 0.160 eV/atom
! - Volume: 27.76 Å³/atom
! - Electronic total energy: -5.6855 eV/atom


Record 2
! Tb12Pm2Sc | Alexandria | PBE-GGA | optimized geometry; values from VASP
&SYSTEM
  ibrav = 0, nat = 30, ntyp = 3
/
ATOMIC_SPECIES
Tb 158.93 Tb.upf
Pm 145.00 Pm.upf
Sc 44.96 Sc.upf
CELL_PARAMETERS angstrom
3.510 -5.669 0.000
3.510 5.669 0.000
-3.345 0.000 24.302
ATOMIC_POSITIONS angstrom
Tb 0.801 2.565 7.390
Tb -0.718 2.826 20.122
Tb 2.629 2.909 1.358
Tb 1.127 3.032 13.760
Tb 0.929 0.000 1.678
Tb -0.824 0.000 15.682
Tb 2.548 3.032 10.542
Tb 1.103 0.000 9.395
Tb 1.046 2.909 22.944
Tb -0.676 0.000 22.383
Tb 4.392 2.826 4.180
Tb 0.801 -2.565 7.390
Tb 2.874 2.565 16.912
Tb -0.718 -2.826 20.122
Tb 4.351 0.000 1.919
Tb 2.629 -2.909 1.358
Tb 2.572 0.000 14.907
Tb 1.127 -3.032 13.760
Tb 4.499 0.000 8.621
Tb 2.746 0.000 22.624
Tb 2.548 -3.032 10.542
Tb 1.046 -2.909 22.944
Tb 4.392 -2.826 4.180
Tb 2.874 -2.565 16.912
Pm -2.487 0.000 18.879
Pm 2.611 0.000 5.537
Pm 1.063 0.000 18.765
Pm 6.162 0.000 5.423
Sc 0.014 0.000 12.509
Sc 3.661 0.000 11.793
! - Crystal system: monoclinic
! - Size of the total moment: 0.000 μB per atom
! - SG: C2/m, No. 12
! - Formation enthalpy at 0 K: 0.122 eV/atom
! - Volume: 32.24 Å³/atom
! - Electronic total energy: -4.6372 eV/atom


Record 3
! Tb2Pm4Sc3 | Alexandria | PBE-GGA | optimized geometry; values from VASP
&SYSTEM
  ibrav = 0, nat = 9, ntyp = 3
/
ATOMIC_SPECIES
Tb 158.93 Tb.upf
Pm 145.00 Pm.upf
Sc 44.96 Sc.upf
CELL_PARAMETERS angstrom
5.496 -2.495 0.000
5.496 2.495 0.000
-3.233 0.000 9.946
ATOMIC_POSITIONS angstrom
Tb 1.128 0.000 2.266
Tb 6.633 0.000 7.680
Pm -1.044 0.000 8.822
Pm 3.297 0.000 6.602
Pm 4.463 0.000 3.344
Pm 8.804 0.000 1.124
Sc 0.023 0.000 5.486
Sc 5.496 0.000 0.000
Sc 7.738 0.000 4.460
! - Crystal system: monoclinic
! - Size of the total moment: 0.000 μB per atom
! - SG: C2/m, No. 12
! - Formation enthalpy at 0 K: 0.048 eV/atom
! - Volume: 30.31 Å³/atom
! - Electronic total energy: -5.2026 eV/atom


Record 4
! Tb2PmSc | Alexandria | PBE-GGA | optimized geometry; values from VASP
&SYSTEM
  ibrav = 0, nat = 4, ntyp = 3
/
ATOMIC_SPECIES
Tb 158.93 Tb.upf
Pm 145.00 Pm.upf
Sc 44.96 Sc.upf
CELL_PARAMETERS angstrom
1.769 1.022 11.316
-1.769 1.022 11.316
0.000 -2.043 11.316
ATOMIC_POSITIONS angstrom
Tb 0.000 0.000 0.000
Tb 0.000 0.000 5.930
Pm 0.000 0.000 14.286
Sc 0.000 0.000 19.931
! - Crystal system: trigonal
! - Size of the total moment: 0.000 μB per atom
! - SG: R3m, No. 160
! - Formation enthalpy at 0 K: 0.045 eV/atom
! - Volume: 30.68 Å³/atom
! - Polymorph energy (0 for the lowest one): 0.010 eV/atom
! - Electronic total energy: -5.0404 eV/atom


Record 5
! Tb7Pm4Sc | Alexandria | PBE-GGA | optimized geometry; values from VASP
&SYSTEM
  ibrav = 0, nat = 12, ntyp = 3
/
ATOMIC_SPECIES
Tb 158.93 Tb.upf
Pm 145.00 Pm.upf
Sc 44.96 Sc.upf
CELL_PARAMETERS angstrom
6.481 0.000 0.000
0.886 6.743 0.000
2.042 0.459 8.902
ATOMIC_POSITIONS angstrom
Tb 0.000 0.000 0.000
Tb 2.525 4.274 3.382
Tb 3.561 1.572 5.648
Tb 3.993 5.038 0.435
Tb 5.417 2.163 8.467
Tb 5.849 5.629 3.254
Tb 6.885 2.927 5.520
Pm 1.789 0.941 2.708
Pm 4.332 4.923 6.424
Pm 5.078 2.278 2.478
Pm 7.620 6.260 6.194
Sc 0.443 3.371 0.000
! - Crystal system: triclinic
! - Size of the total moment: 0.000 μB per atom
! - SG: P-1, No. 2
! - Formation enthalpy at 0 K: 0.099 eV/atom
! - Volume: 32.42 Å³/atom
! - Polymorph energy (0 for the lowest one): 0.000 eV/atom
! - Electronic total energy: -4.7127 eV/atom


Record 6
! Tb4Pm5Sc | Alexandria | PBE-GGA | optimized geometry; values from VASP
&SYSTEM
  ibrav = 0, nat = 10, ntyp = 3
/
ATOMIC_SPECIES
Tb 158.93 Tb.upf
Pm 145.00 Pm.upf
Sc 44.96 Sc.upf
CELL_PARAMETERS angstrom
3.607 0.000 0.000
0.000 3.607 0.000
0.000 0.000 24.923
ATOMIC_POSITIONS angstrom
Tb 0.000 0.000 2.545
Tb 0.000 0.000 7.634
Tb 0.000 0.000 17.289
Tb 0.000 0.000 22.378
Pm 1.803 1.803 0.000
Pm 1.803 1.803 5.092
Pm 1.803 1.803 10.168
Pm 1.803 1.803 14.755
Pm 1.803 1.803 19.831
Sc 0.000 0.000 12.461
! - Crystal system: tetragonal
! - Size of the total moment: 0.000 μB per atom
! - SG: P4/mmm, No. 123
! - Formation enthalpy at 0 K: 0.024 eV/atom
! - Volume: 32.42 Å³/atom
! - Polymorph energy (0 for the lowest one): 0.000 eV/atom
! - Electronic total energy: -4.8370 eV/atom


Repeat the fifth record exactly.
! Tb7Pm4Sc | Alexandria | PBE-GGA | optimized geometry; values from VASP
&SYSTEM
  ibrav = 0, nat = 12, ntyp = 3
/
ATOMIC_SPECIES
Tb 158.93 Tb.upf
Pm 145.00 Pm.upf
Sc 44.96 Sc.upf
CELL_PARAMETERS angstrom
6.481 0.000 0.000
0.886 6.743 0.000
2.042 0.459 8.902
ATOMIC_POSITIONS angstrom
Tb 0.000 0.000 0.000
Tb 2.525 4.274 3.382
Tb 3.561 1.572 5.648
Tb 3.993 5.038 0.435
Tb 5.417 2.163 8.467
Tb 5.849 5.629 3.254
Tb 6.885 2.927 5.520
Pm 1.789 0.941 2.708
Pm 4.332 4.923 6.424
Pm 5.078 2.278 2.478
Pm 7.620 6.260 6.194
Sc 0.443 3.371 0.000
! - Crystal system: triclinic
! - Size of the total moment: 0.000 μB per atom
! - SG: P-1, No. 2
! - Formation enthalpy at 0 K: 0.099 eV/atom
! - Volume: 32.42 Å³/atom
! - Polymorph energy (0 for the lowest one): 0.000 eV/atom
! - Electronic total energy: -4.7127 eV/atom